Density functional theory data (GGA-PBE) for crystalline Th3Zn6Au5 at its relaxed geometry.

a b c (Å): 4.4785 8.4224 8.4224
angles (deg): 68.88 74.58 74.58
Closest atoms and distances in Å follow each position.
Positions (direct):
Th 0.7073 0.2927 0.2927  8 Zn 3.16-3.44, 8 Au 3.18-3.53
Zn 0.8646 0.8474 0.4234  4 Au 2.63-2.79, 2 Zn 2.88
Th 0.0000 0.0000 0.0000  4 Zn 3.27, 8 Au 3.35
Zn 0.8646 0.4234 0.8474  4 Au 2.63-2.79, 2 Zn 2.88
Au 0.3425 0.3041 0.0109  4 Zn 2.63-2.79, 1 Au 2.79
Au 0.3425 0.0109 0.3041  4 Zn 2.63-2.79, 1 Au 2.79
Zn 0.1354 0.5766 0.1526  4 Au 2.63-2.79, 2 Zn 2.88
Zn 0.5000 0.3188 0.6812  4 Au 2.64-2.83, 4 Zn 2.88
Th 0.2927 0.7073 0.7073  8 Zn 3.16-3.44, 8 Au 3.18-3.53
Au 0.0000 0.5000 0.5000  8 Zn 2.69-2.83
Zn 0.1354 0.1526 0.5766  4 Au 2.63-2.79, 2 Zn 2.88
Au 0.6575 0.9891 0.6959  4 Zn 2.63-2.79, 1 Au 2.79
Zn 0.5000 0.6812 0.3188  4 Au 2.64-2.83, 4 Zn 2.88
Au 0.6575 0.6959 0.9891  4 Zn 2.63-2.79, 1 Au 2.79

## Properties
Final energy   -3.786 eV/atom
Space group   Immm, No. 71
ΔE_f   -6.72 eV/f.u.
M_tot   0.0 μB per formula unit

Density functional theory data (GGA-PBE) for crystalline Th2ZnAu2 at its relaxed geometry.

a b c (Å): 3.5895 4.5611 7.5439
angles (deg): 107.60 90.00 90.00
Closest atoms and distances in Å follow each position.
Positions (direct):
Au 0.5000 0.5093 0.0186  2 Zn 2.71, 1 Au 2.97
Th 0.0000 0.6900 0.3800  4 Zn 3.12, 6 Au 3.16-3.32, 1 Th 3.44
Au 0.5000 0.3025 0.6051  1 Zn 2.75, 1 Au 2.97
Th 0.0000 0.9293 0.8586  8 Au 3.12-3.43, 2 Zn 3.17, 1 Th 3.44
Zn 0.5000 0.1110 0.2219  3 Au 2.71-2.75

## Properties
Final energy   -5.027 eV/atom
Space group   Amm2, No. 38
ΔE_f   -2.47 eV/f.u.
M_tot   0.0 μB per formula unit

Density functional theory data (GGA-PBE) for crystalline ThZn2Au6 at its relaxed geometry.

a b c (Å): 5.6310 5.6310 7.2836
angles (deg): 90.00 90.00 120.00
Closest atoms and distances in Å follow each position.
Positions (direct):
Au 0.5000 0.5000 0.7929  2 Zn 2.68, 4 Au 2.82
Au 0.5000 0.5000 0.2071  2 Zn 2.68, 4 Au 2.82
Au 0.5000 0.0000 0.2071  2 Zn 2.68, 4 Au 2.82
Zn 0.6667 0.3333 0.5000  6 Au 2.68
Zn 0.3333 0.6667 0.5000  6 Au 2.68
Th 0.0000 0.0000 0.0000  12 Au 3.19
Au 0.5000 0.0000 0.7929  2 Zn 2.68, 4 Au 2.82
Au 0.0000 0.5000 0.2071  2 Zn 2.68, 4 Au 2.82
Au 0.0000 0.5000 0.7929  2 Zn 2.68, 4 Au 2.82

## Properties
Final energy   -3.531 eV/atom
Space group   P6/mmm, No. 191
ΔE_f   -2.15 eV/f.u.
M_tot   0.0 μB per formula unit

Density functional theory data (GGA-PBE) for crystalline Th2ZnAu2 at its relaxed geometry.

a b c (Å): 4.5322 6.7874 8.5520
angles (deg): 90.00 105.37 90.00
Closest atoms and distances in Å follow each position.
Positions (direct):
Zn 0.6030 0.5698 0.2061  4 Au 2.74-3.00
Zn 0.3970 0.0698 0.7939  4 Au 2.74-3.00
Au 0.5742 0.9721 0.1483  2 Zn 2.77-3.00, 2 Th 3.08
Th 0.7953 0.3964 0.5906  5 Au 2.97-3.17
Th 0.9792 0.7509 0.9583  5 Au 2.95-3.14, 2 Zn 3.29
Th 0.0208 0.2509 0.0417  5 Au 2.95-3.14, 2 Zn 3.29
Au 0.1806 0.4452 0.3611  2 Zn 2.74, 3 Th 2.95-2.97
Au 0.4258 0.4721 0.8517  2 Zn 2.77-3.00, 2 Th 3.08
Th 0.2047 0.8964 0.4094  5 Au 2.97-3.17
Au 0.8194 0.9452 0.6389  2 Zn 2.74, 3 Th 2.95-2.97

## Properties
Final energy   -4.976 eV/atom
Space group   Cmc2_1, No. 36
ΔE_f   -2.21 eV/f.u.
M_tot   0.0 μB per formula unit

Density functional theory data (GGA-PBE) for crystalline ThZn4Au4 at its relaxed geometry.

a b c (Å): 4.8032 8.5268 8.5268
angles (deg): 90.00 90.00 90.00
Closest atoms and distances in Å follow each position.
Positions (direct):
Au 0.9997 0.3506 0.0829  4 Zn 2.63-2.80, 1 Au 2.91
Au 0.0003 0.0829 0.6494  4 Zn 2.63-2.80, 1 Au 2.91
Zn 0.9997 0.6180 0.2736  4 Au 2.63-2.80
Zn 0.5003 0.1180 0.7736  4 Au 2.63-2.80
Zn 0.0003 0.7264 0.6180  4 Au 2.63-2.80
Au 0.4997 0.4171 0.8506  4 Zn 2.63-2.80, 1 Au 2.91
Zn 0.9997 0.3820 0.7264  4 Au 2.63-2.80
Zn 0.0003 0.2736 0.3820  4 Au 2.63-2.80
Au 0.5003 0.8506 0.5829  4 Zn 2.63-2.80, 1 Au 2.91
Au 0.9997 0.6494 0.9171  4 Zn 2.63-2.80, 1 Au 2.91
Au 0.4997 0.5829 0.1494  4 Zn 2.63-2.80, 1 Au 2.91
Th 0.0000 0.0000 0.0000  4 Au 3.07, 8 Zn 3.24
Zn 0.5003 0.8820 0.2264  4 Au 2.63-2.80
Zn 0.4997 0.7736 0.8820  4 Au 2.63-2.80
Zn 0.4997 0.2264 0.1180  4 Au 2.63-2.80
Au 0.5003 0.1494 0.4171  4 Zn 2.63-2.80, 1 Au 2.91
Th 0.5000 0.5000 0.5000  4 Au 3.07, 8 Zn 3.24
Au 0.0003 0.9171 0.3506  4 Zn 2.63-2.80, 1 Au 2.91

## Properties
Final energy   -3.098 eV/atom
Space group   I4/m, No. 87
ΔE_f   -2.25 eV/f.u.
M_tot   0.0 μB per formula unit

Density functional theory data (GGA-PBE) for crystalline Th2Zn2Au3 at its relaxed geometry.

a b c (Å): 3.7289 4.3306 9.8692
angles (deg): 102.67 90.00 90.00
Closest atoms and distances in Å follow each position.
Positions (direct):
Au 0.0000 0.0000 0.0000  2 Th 2.96, 8 Au 3.19
Zn 0.5000 0.2840 0.5681  2 Zn 2.53, 1 Au 2.75
Th 0.0000 0.1538 0.3075  5 Au 2.96-3.25, 6 Zn 3.10-3.13
Zn 0.5000 0.7160 0.4319  2 Zn 2.53, 1 Au 2.75
Au 0.5000 0.5731 0.1463  1 Zn 2.75, 1 Au 2.82
Th 0.0000 0.8462 0.6925  5 Au 2.96-3.25, 6 Zn 3.10-3.13
Au 0.5000 0.4269 0.8537  1 Zn 2.75, 1 Au 2.82

## Properties
Final energy   -4.236 eV/atom
Space group   Cmmm, No. 65
ΔE_f   -2.43 eV/f.u.
M_tot   0.0 μB per formula unit
ΔE to the lowest computed polymorph   184 meV/atom

Q: Which of these has the highest final energy?
A: ThZn4Au4